(1)
LuPaGa: optimized geometry, PBE.

Lattice parameters (Å, degrees): 3.2287 3.2287 13.5318 90.00 90.00 90.00
Last column: nearest neighbours and their distance in Å.
Sites, in units of the cell vectors:
Lu  0.0000  0.0000  0.0000  4 Ga 3.05, 4 Lu 3.23
Lu  0.5000  0.5000  0.5000  4 Ga 3.05, 4 Lu 3.23
Pa  0.0000  0.0000  0.6947  4 Ga 3.10, 4 Pa 3.23
Pa  0.5000  0.5000  0.1947  4 Ga 3.10, 4 Pa 3.23
Ga  0.0000  0.0000  0.3502  4 Lu 3.05, 4 Pa 3.10, 4 Ga 3.23
Ga  0.5000  0.5000  0.8502  4 Lu 3.05, 4 Pa 3.10, 4 Ga 3.23

Summary:
- calculated volume (Å³/cell) = 141.06
- formation energy (eV per formula unit) = -0.47



(2)
LuPaGaPb: optimized geometry, PBE.

Lattice parameters (Å, degrees): 7.3805 7.3805 7.3805 90.00 90.00 90.00
Last column: nearest neighbours and their distance in Å.
Sites, in units of the cell vectors:
Lu  0.0000  0.0000  0.0000  4 Pb 3.20, 4 Ga 3.20
Lu  0.0000  0.5000  0.5000  4 Pb 3.20, 4 Ga 3.20
Lu  0.5000  0.0000  0.5000  4 Pb 3.20, 4 Ga 3.20
Lu  0.5000  0.5000  0.0000  4 Pb 3.20, 4 Ga 3.20
Pa  0.0000  0.0000  0.5000  4 Ga 3.20, 4 Pb 3.20
Pa  0.0000  0.5000  0.0000  4 Ga 3.20, 4 Pb 3.20
Pa  0.5000  0.0000  0.0000  4 Ga 3.20, 4 Pb 3.20
Pa  0.5000  0.5000  0.5000  4 Ga 3.20, 4 Pb 3.20
Ga  0.2500  0.2500  0.2500  4 Lu 3.20, 4 Pa 3.20
Ga  0.2500  0.7500  0.7500  4 Lu 3.20, 4 Pa 3.20
Ga  0.7500  0.2500  0.7500  4 Lu 3.20, 4 Pa 3.20
Ga  0.7500  0.7500  0.2500  4 Lu 3.20, 4 Pa 3.20
Pb  0.2500  0.2500  0.7500  4 Pa 3.20, 4 Lu 3.20
Pb  0.2500  0.7500  0.2500  4 Pa 3.20, 4 Lu 3.20
Pb  0.7500  0.2500  0.2500  4 Pa 3.20, 4 Lu 3.20
Pb  0.7500  0.7500  0.7500  4 Pa 3.20, 4 Lu 3.20

Summary:
- calculated volume (Å³/cell) = 402.03
- formation energy (eV per formula unit) = -0.37



(3)
LuPaGaPd: optimized geometry, PBE.

Lattice parameters (Å, degrees): 7.0470 7.0470 7.0470 90.00 90.00 90.00
Last column: nearest neighbours and their distance in Å.
Sites, in units of the cell vectors:
Lu  0.0000  0.0000  0.0000  4 Ga 3.05, 4 Pd 3.05
Lu  0.0000  0.5000  0.5000  4 Ga 3.05, 4 Pd 3.05
Lu  0.5000  0.0000  0.5000  4 Ga 3.05, 4 Pd 3.05
Lu  0.5000  0.5000  0.0000  4 Ga 3.05, 4 Pd 3.05
Pa  0.0000  0.0000  0.5000  4 Pd 3.05, 4 Ga 3.05
Pa  0.0000  0.5000  0.0000  4 Pd 3.05, 4 Ga 3.05
Pa  0.5000  0.0000  0.0000  4 Pd 3.05, 4 Ga 3.05
Pa  0.5000  0.5000  0.5000  4 Pd 3.05, 4 Ga 3.05
Ga  0.2500  0.2500  0.2500  4 Pa 3.05, 4 Lu 3.05
Ga  0.2500  0.7500  0.7500  4 Pa 3.05, 4 Lu 3.05
Ga  0.7500  0.2500  0.7500  4 Pa 3.05, 4 Lu 3.05
Ga  0.7500  0.7500  0.2500  4 Pa 3.05, 4 Lu 3.05
Pd  0.2500  0.2500  0.7500  4 Pa 3.05, 4 Lu 3.05
Pd  0.2500  0.7500  0.2500  4 Pa 3.05, 4 Lu 3.05
Pd  0.7500  0.2500  0.2500  4 Pa 3.05, 4 Lu 3.05
Pd  0.7500  0.7500  0.7500  4 Lu 3.05, 4 Pa 3.05

Summary:
- calculated volume (Å³/cell) = 349.96
- formation energy (eV per formula unit) = -1.58



(4)
LuPaGaPt: optimized geometry, PBE.

Lattice parameters (Å, degrees): 7.0375 7.0375 7.0375 90.00 90.00 90.00
Last column: nearest neighbours and their distance in Å.
Sites, in units of the cell vectors:
Lu  0.0000  0.0000  0.0000  4 Pt 3.05, 4 Ga 3.05
Lu  0.0000  0.5000  0.5000  4 Pt 3.05, 4 Ga 3.05
Lu  0.5000  0.0000  0.5000  4 Pt 3.05, 4 Ga 3.05
Lu  0.5000  0.5000  0.0000  4 Pt 3.05, 4 Ga 3.05
Pa  0.0000  0.0000  0.5000  4 Pt 3.05, 4 Ga 3.05
Pa  0.0000  0.5000  0.0000  4 Pt 3.05, 4 Ga 3.05
Pa  0.5000  0.0000  0.0000  4 Pt 3.05, 4 Ga 3.05
Pa  0.5000  0.5000  0.5000  4 Pt 3.05, 4 Ga 3.05
Ga  0.2500  0.2500  0.7500  4 Pa 3.05, 4 Lu 3.05
Ga  0.2500  0.7500  0.2500  4 Pa 3.05, 4 Lu 3.05
Ga  0.7500  0.2500  0.2500  4 Pa 3.05, 4 Lu 3.05
Ga  0.7500  0.7500  0.7500  4 Pa 3.05, 4 Lu 3.05
Pt  0.2500  0.2500  0.2500  4 Pa 3.05, 4 Lu 3.05
Pt  0.2500  0.7500  0.7500  4 Pa 3.05, 4 Lu 3.05
Pt  0.7500  0.2500  0.7500  4 Pa 3.05, 4 Lu 3.05
Pt  0.7500  0.7500  0.2500  4 Pa 3.05, 4 Lu 3.05

Summary:
- calculated volume (Å³/cell) = 348.54
- formation energy (eV per formula unit) = -2.36



(5)
LuPuPaGa: optimized geometry, PBE.

Lattice parameters (Å, degrees): 7.1749 7.1749 7.1749 90.00 90.00 90.00
Last column: nearest neighbours and their distance in Å.
Sites, in units of the cell vectors:
Lu  0.0000  0.0000  0.0000  4 Ga 3.11, 4 Pa 3.11
Lu  0.0000  0.5000  0.5000  4 Ga 3.11, 4 Pa 3.11
Lu  0.5000  0.0000  0.5000  4 Ga 3.11, 4 Pa 3.11
Lu  0.5000  0.5000  0.0000  4 Ga 3.11, 4 Pa 3.11
Pu  0.0000  0.0000  0.5000  4 Pa 3.11, 4 Ga 3.11
Pu  0.0000  0.5000  0.0000  4 Pa 3.11, 4 Ga 3.11
Pu  0.5000  0.0000  0.0000  4 Pa 3.11, 4 Ga 3.11
Pu  0.5000  0.5000  0.5000  4 Pa 3.11, 4 Ga 3.11
Pa  0.2500  0.2500  0.2500  4 Pu 3.11, 4 Lu 3.11
Pa  0.2500  0.7500  0.7500  4 Pu 3.11, 4 Lu 3.11
Pa  0.7500  0.2500  0.7500  4 Pu 3.11, 4 Lu 3.11
Pa  0.7500  0.7500  0.2500  4 Pu 3.11, 4 Lu 3.11
Ga  0.2500  0.2500  0.7500  4 Pu 3.11, 4 Lu 3.11
Ga  0.2500  0.7500  0.2500  4 Pu 3.11, 4 Lu 3.11
Ga  0.7500  0.2500  0.2500  4 Pu 3.11, 4 Lu 3.11
Ga  0.7500  0.7500  0.7500  4 Pu 3.11, 4 Lu 3.11

Summary:
- calculated volume (Å³/cell) = 369.36
- formation energy (eV per formula unit) = 0.20



(6)
LuPaZnGa: optimized geometry, PBE.

Lattice parameters (Å, degrees): 7.0342 7.0342 7.0342 90.00 90.00 90.00
Last column: nearest neighbours and their distance in Å.
Sites, in units of the cell vectors:
Lu  0.0000  0.0000  0.0000  4 Zn 3.05, 4 Ga 3.05
Lu  0.0000  0.5000  0.5000  4 Zn 3.05, 4 Ga 3.05
Lu  0.5000  0.0000  0.5000  4 Zn 3.05, 4 Ga 3.05
Lu  0.5000  0.5000  0.0000  4 Zn 3.05, 4 Ga 3.05
Pa  0.0000  0.0000  0.5000  4 Zn 3.05, 4 Ga 3.05
Pa  0.0000  0.5000  0.0000  4 Zn 3.05, 4 Ga 3.05
Pa  0.5000  0.0000  0.0000  4 Zn 3.05, 4 Ga 3.05
Pa  0.5000  0.5000  0.5000  4 Ga 3.05, 4 Zn 3.05
Zn  0.2500  0.2500  0.7500  4 Pa 3.05, 4 Lu 3.05
Zn  0.2500  0.7500  0.2500  4 Pa 3.05, 4 Lu 3.05
Zn  0.7500  0.2500  0.2500  4 Pa 3.05, 4 Lu 3.05
Zn  0.7500  0.7500  0.7500  4 Pa 3.05, 4 Lu 3.05
Ga  0.2500  0.2500  0.2500  4 Pa 3.05, 4 Lu 3.05
Ga  0.2500  0.7500  0.7500  4 Pa 3.05, 4 Lu 3.05
Ga  0.7500  0.2500  0.7500  4 Pa 3.05, 4 Lu 3.05
Ga  0.7500  0.7500  0.2500  4 Pa 3.05, 4 Lu 3.05

Summary:
- calculated volume (Å³/cell) = 348.05
- formation energy (eV per formula unit) = -0.83



(7)
LuGa4Pb: optimized geometry, PBE.

Lattice parameters (Å, degrees): 5.6067 5.6067 5.6067 60.00 60.00 60.00
Last column: nearest neighbours and their distance in Å.
Sites, in units of the cell vectors:
Lu  0.0000  0.0000  0.0000  12 Ga 3.29, 4 Pb 3.43
Ga  0.1234  0.6255  0.6255  6 Ga 2.79-2.82
Ga  0.6255  0.1234  0.6255  6 Ga 2.79-2.82
Ga  0.6255  0.6255  0.1234  6 Ga 2.79-2.82
Ga  0.6255  0.6255  0.6255  6 Ga 2.79-2.82
Pb  0.2500  0.2500  0.2500  12 Ga 3.29, 4 Lu 3.43

Summary:
- calculated volume (Å³/cell) = 124.63
- formation energy (eV per formula unit) = -1.03



(8)
PmLuGaPb: optimized geometry, PBE.

Lattice parameters (Å, degrees): 7.4870 7.4870 7.4870 90.00 90.00 90.00
Last column: nearest neighbours and their distance in Å.
Sites, in units of the cell vectors:
Pm  0.0000  0.0000  0.0000  4 Pb 3.24, 4 Ga 3.24
Pm  0.0000  0.5000  0.5000  4 Pb 3.24, 4 Ga 3.24
Pm  0.5000  0.0000  0.5000  4 Pb 3.24, 4 Ga 3.24
Pm  0.5000  0.5000  0.0000  4 Pb 3.24, 4 Ga 3.24
Lu  0.0000  0.0000  0.5000  4 Pb 3.24, 4 Ga 3.24
Lu  0.0000  0.5000  0.0000  4 Pb 3.24, 4 Ga 3.24
Lu  0.5000  0.0000  0.0000  4 Pb 3.24, 4 Ga 3.24
Lu  0.5000  0.5000  0.5000  4 Pb 3.24, 4 Ga 3.24
Ga  0.2500  0.2500  0.2500  4 Pm 3.24, 4 Lu 3.24
Ga  0.2500  0.7500  0.7500  4 Pm 3.24, 4 Lu 3.24
Ga  0.7500  0.2500  0.7500  4 Pm 3.24, 4 Lu 3.24
Ga  0.7500  0.7500  0.2500  4 Pm 3.24, 4 Lu 3.24
Pb  0.2500  0.2500  0.7500  4 Pm 3.24, 4 Lu 3.24
Pb  0.2500  0.7500  0.2500  4 Pm 3.24, 4 Lu 3.24
Pb  0.7500  0.2500  0.2500  4 Pm 3.24, 4 Lu 3.24
Pb  0.7500  0.7500  0.7500  4 Pm 3.24, 4 Lu 3.24

Summary:
- calculated volume (Å³/cell) = 419.69
- formation energy (eV per formula unit) = -1.60



(9)
LuPuGaPb: optimized geometry, PBE.

Lattice parameters (Å, degrees): 7.4045 7.4045 7.4045 90.00 90.00 90.00
Last column: nearest neighbours and their distance in Å.
Sites, in units of the cell vectors:
Lu  0.0000  0.0000  0.0000  4 Pb 3.21, 4 Ga 3.21
Lu  0.0000  0.5000  0.5000  4 Pb 3.21, 4 Ga 3.21
Lu  0.5000  0.0000  0.5000  4 Pb 3.21, 4 Ga 3.21
Lu  0.5000  0.5000  0.0000  4 Pb 3.21, 4 Ga 3.21
Pu  0.0000  0.0000  0.5000  4 Pb 3.21, 4 Ga 3.21
Pu  0.0000  0.5000  0.0000  4 Pb 3.21, 4 Ga 3.21
Pu  0.5000  0.0000  0.0000  4 Pb 3.21, 4 Ga 3.21
Pu  0.5000  0.5000  0.5000  4 Pb 3.21, 4 Ga 3.21
Ga  0.2500  0.2500  0.7500  4 Pu 3.21, 4 Lu 3.21
Ga  0.2500  0.7500  0.2500  4 Pu 3.21, 4 Lu 3.21
Ga  0.7500  0.2500  0.2500  4 Pu 3.21, 4 Lu 3.21
Ga  0.7500  0.7500  0.7500  4 Lu 3.21, 4 Pu 3.21
Pb  0.2500  0.2500  0.2500  4 Pu 3.21, 4 Lu 3.21
Pb  0.2500  0.7500  0.7500  4 Pu 3.21, 4 Lu 3.21
Pb  0.7500  0.2500  0.7500  4 Pu 3.21, 4 Lu 3.21
Pb  0.7500  0.7500  0.2500  4 Pu 3.21, 4 Lu 3.21

Summary:
- calculated volume (Å³/cell) = 405.96
- formation energy (eV per formula unit) = -1.01



(10)
SmLuGaPb: optimized geometry, PBE.

Lattice parameters (Å, degrees): 7.4696 7.4696 7.4696 90.00 90.00 90.00
Last column: nearest neighbours and their distance in Å.
Sites, in units of the cell vectors:
Sm  0.0000  0.0000  0.0000  4 Pb 3.23, 4 Ga 3.23
Sm  0.0000  0.5000  0.5000  4 Pb 3.23, 4 Ga 3.23
Sm  0.5000  0.0000  0.5000  4 Pb 3.23, 4 Ga 3.23
Sm  0.5000  0.5000  0.0000  4 Pb 3.23, 4 Ga 3.23
Lu  0.0000  0.0000  0.5000  4 Pb 3.23, 4 Ga 3.23
Lu  0.0000  0.5000  0.0000  4 Pb 3.23, 4 Ga 3.23
Lu  0.5000  0.0000  0.0000  4 Pb 3.23, 4 Ga 3.23
Lu  0.5000  0.5000  0.5000  4 Pb 3.23, 4 Ga 3.23
Ga  0.2500  0.2500  0.2500  4 Sm 3.23, 4 Lu 3.23
Ga  0.2500  0.7500  0.7500  4 Sm 3.23, 4 Lu 3.23
Ga  0.7500  0.2500  0.7500  4 Sm 3.23, 4 Lu 3.23
Ga  0.7500  0.7500  0.2500  4 Sm 3.23, 4 Lu 3.23
Pb  0.2500  0.2500  0.7500  4 Sm 3.23, 4 Lu 3.23
Pb  0.2500  0.7500  0.2500  4 Sm 3.23, 4 Lu 3.23
Pb  0.7500  0.2500  0.2500  4 Sm 3.23, 4 Lu 3.23
Pb  0.7500  0.7500  0.7500  4 Sm 3.23, 4 Lu 3.23

Summary:
- calculated volume (Å³/cell) = 416.76
- formation energy (eV per formula unit) = -1.59



(11)
SrLuGaPb: optimized geometry, PBE.

Lattice parameters (Å, degrees): 7.6709 7.6709 7.6709 90.00 90.00 90.00
Last column: nearest neighbours and their distance in Å.
Sites, in units of the cell vectors:
Sr  0.0000  0.0000  0.0000  4 Pb 3.32, 4 Ga 3.32
Sr  0.0000  0.5000  0.5000  4 Pb 3.32, 4 Ga 3.32
Sr  0.5000  0.0000  0.5000  4 Pb 3.32, 4 Ga 3.32
Sr  0.5000  0.5000  0.0000  4 Pb 3.32, 4 Ga 3.32
Lu  0.0000  0.0000  0.5000  4 Pb 3.32, 4 Ga 3.32
Lu  0.0000  0.5000  0.0000  4 Pb 3.32, 4 Ga 3.32
Lu  0.5000  0.0000  0.0000  4 Pb 3.32, 4 Ga 3.32
Lu  0.5000  0.5000  0.5000  4 Pb 3.32, 4 Ga 3.32
Ga  0.2500  0.2500  0.2500  4 Sr 3.32, 4 Lu 3.32
Ga  0.2500  0.7500  0.7500  4 Sr 3.32, 4 Lu 3.32
Ga  0.7500  0.2500  0.7500  4 Sr 3.32, 4 Lu 3.32
Ga  0.7500  0.7500  0.2500  4 Sr 3.32, 4 Lu 3.32
Pb  0.2500  0.2500  0.7500  4 Sr 3.32, 4 Lu 3.32
Pb  0.2500  0.7500  0.2500  4 Sr 3.32, 4 Lu 3.32
Pb  0.7500  0.2500  0.2500  4 Sr 3.32, 4 Lu 3.32
Pb  0.7500  0.7500  0.7500  4 Sr 3.32, 4 Lu 3.32

Summary:
- calculated volume (Å³/cell) = 451.37
- formation energy (eV per formula unit) = -1.32



(12)
YLuGaPb: optimized geometry, PBE.

Lattice parameters (Å, degrees): 7.4096 7.4096 7.4096 90.00 90.00 90.00
Last column: nearest neighbours and their distance in Å.
Sites, in units of the cell vectors:
Y  0.0000  0.0000  0.0000  4 Ga 3.21, 4 Pb 3.21
Y  0.0000  0.5000  0.5000  4 Ga 3.21, 4 Pb 3.21
Y  0.5000  0.0000  0.5000  4 Ga 3.21, 4 Pb 3.21
Y  0.5000  0.5000  0.0000  4 Ga 3.21, 4 Pb 3.21
Lu  0.0000  0.0000  0.5000  4 Pb 3.21, 4 Ga 3.21
Lu  0.0000  0.5000  0.0000  4 Pb 3.21, 4 Ga 3.21
Lu  0.5000  0.0000  0.0000  4 Pb 3.21, 4 Ga 3.21
Lu  0.5000  0.5000  0.5000  4 Pb 3.21, 4 Ga 3.21
Ga  0.2500  0.2500  0.2500  4 Lu 3.21, 4 Y 3.21
Ga  0.2500  0.7500  0.7500  4 Lu 3.21, 4 Y 3.21
Ga  0.7500  0.2500  0.7500  4 Lu 3.21, 4 Y 3.21
Ga  0.7500  0.7500  0.2500  4 Lu 3.21, 4 Y 3.21
Pb  0.2500  0.2500  0.7500  4 Y 3.21, 4 Lu 3.21
Pb  0.2500  0.7500  0.2500  4 Y 3.21, 4 Lu 3.21
Pb  0.7500  0.2500  0.2500  4 Y 3.21, 4 Lu 3.21
Pb  0.7500  0.7500  0.7500  4 Y 3.21, 4 Lu 3.21

Summary:
- calculated volume (Å³/cell) = 406.80
- formation energy (eV per formula unit) = -1.59



(13)
LuGa2Pd: optimized geometry, PBE.

Lattice parameters (Å, degrees): 3.2638 3.2638 6.7747 90.00 90.00 90.00
Last column: nearest neighbours and their distance in Å.
Sites, in units of the cell vectors:
Lu  0.0000  0.0000  0.0000  8 Ga 3.04, 4 Lu 3.26, 2 Pd 3.39
Ga  0.5000  0.5000  0.2920  4 Pd 2.70, 1 Ga 2.82
Ga  0.5000  0.5000  0.7080  4 Pd 2.70, 1 Ga 2.82
Pd  0.0000  0.0000  0.5000  8 Ga 2.70

Summary:
- calculated volume (Å³/cell) = 72.17
- formation energy (eV per formula unit) = -2.33



(14)
Lu2GaPd: optimized geometry, PBE.

Lattice parameters (Å, degrees): 3.6069 3.6069 24.4610 90.00 90.00 120.00
Last column: nearest neighbours and their distance in Å.
Sites, in units of the cell vectors:
Lu  0.0000  0.0000  0.2445  3 Pd 2.82, 3 Ga 3.01
Lu  0.0000  0.0000  0.7555  3 Pd 2.82, 3 Ga 3.01
Lu  0.3333  0.6667  0.4221  3 Pd 2.82, 3 Ga 3.01
Lu  0.3333  0.6667  0.9112  3 Pd 2.82, 3 Ga 3.01
Lu  0.6667  0.3333  0.0888  3 Pd 2.82, 3 Ga 3.01
Lu  0.6667  0.3333  0.5779  3 Pd 2.82, 3 Ga 3.01
Ga  0.0000  0.0000  0.0000  6 Lu 3.01
Ga  0.3333  0.6667  0.6667  6 Lu 3.01
Ga  0.6667  0.3333  0.3333  6 Lu 3.01
Pd  0.0000  0.0000  0.5000  6 Lu 2.82
Pd  0.3333  0.6667  0.1667  6 Lu 2.82
Pd  0.6667  0.3333  0.8333  6 Lu 2.82

Summary:
- calculated volume (Å³/cell) = 275.59
- formation energy (eV per formula unit) = -2.20